# NpP2Ru3 (PBE, relaxed)
# Electronic total energy, eV per atom: -9.100
data_NpP2Ru3
_chemical_formula_sum 'Np4 P8 Ru12'
_symmetry_space_group_name_H-M 'C 1 2/m 1'
_symmetry_Int_Tables_number 12
_symmetry_space_group_name_Hall '-C 2y'
_cell_length_a 13.4091
_cell_length_b 3.8993
_cell_length_c 8.3033
_cell_angle_alpha 90.00
_cell_angle_beta 117.47
_cell_angle_gamma 90.00
loop_
_atom_site_label
_atom_site_type_symbol
_atom_site_fract_x
_atom_site_fract_y
_atom_site_fract_z
Np1 Np 0.1251 0.0000 0.0990
P1 P 0.0069 0.5000 0.8184
P2 P 0.1691 0.0000 0.6016
Ru1 Ru 0.0106 0.0000 0.6701
Ru2 Ru 0.1654 0.5000 0.4367
Ru3 Ru 0.1813 0.5000 0.7949



# Np3P4Ru4 (PBE, relaxed)
# Electronic total energy, eV per atom: -9.595
data_Np3P4Ru4
_chemical_formula_sum 'Np6 P8 Ru8'
_symmetry_space_group_name_H-M 'I m m m'
_symmetry_Int_Tables_number 71
_symmetry_space_group_name_Hall '-I 2 2'
_cell_length_a 3.9167
_cell_length_b 7.0624
_cell_length_c 12.6826
_cell_angle_alpha 90.00
_cell_angle_beta 90.00
_cell_angle_gamma 90.00
loop_
_atom_site_label
_atom_site_type_symbol
_atom_site_fract_x
_atom_site_fract_y
_atom_site_fract_z
Np1 Np 0.0000 0.0000 0.0000
Np2 Np 0.0000 0.5000 0.0940
P1 P 0.0000 0.0000 0.2252
P2 P 0.0000 0.2230 0.5000
Ru1 Ru 0.0000 0.2999 0.3225



# Np2P2Ru5 (PBE, relaxed)
# Electronic total energy, eV per atom: -9.699
data_Np2P2Ru5
_chemical_formula_sum 'Np2 P2 Ru5'
_symmetry_space_group_name_H-M 'P 4/m m m'
_symmetry_Int_Tables_number 123
_symmetry_space_group_name_Hall '-P 4 2'
_cell_length_a 4.0240
_cell_length_b 4.0240
_cell_length_c 8.7181
_cell_angle_alpha 90.00
_cell_angle_beta 90.00
_cell_angle_gamma 90.00
loop_
_atom_site_label
_atom_site_type_symbol
_atom_site_fract_x
_atom_site_fract_y
_atom_site_fract_z
Np1 Np 0.0000 0.0000 0.0000
Np2 Np 0.0000 0.0000 0.5000
P1 P 0.5000 0.5000 0.1321
Ru1 Ru 0.0000 0.5000 0.2745
Ru2 Ru 0.5000 0.5000 0.5000



# NpP12Ru4 (PBE, relaxed)
# Electronic total energy, eV per atom: -7.346
data_NpP12Ru4
_chemical_formula_sum 'Np2 P24 Ru8'
_symmetry_space_group_name_H-M 'I m -3'
_symmetry_Int_Tables_number 204
_symmetry_space_group_name_Hall '-I 2 2 3'
_cell_length_a 8.0720
_cell_length_b 8.0720
_cell_length_c 8.0720
_cell_angle_alpha 90.00
_cell_angle_beta 90.00
_cell_angle_gamma 90.00
loop_
_atom_site_label
_atom_site_type_symbol
_atom_site_fract_x
_atom_site_fract_y
_atom_site_fract_z
Np1 Np 0.0000 0.0000 0.0000
P1 P 0.0000 0.1434 0.3551
Ru1 Ru 0.2500 0.2500 0.2500



# Np4P6Ru7 (PBE, relaxed)
# Electronic total energy, eV per atom: -9.425
data_Np4P6Ru7
_chemical_formula_sum 'Np8 P12 Ru14'
_symmetry_space_group_name_H-M 'I m -3 m'
_symmetry_Int_Tables_number 229
_symmetry_space_group_name_Hall '-I 4 2 3'
_cell_length_a 8.1338
_cell_length_b 8.1338
_cell_length_c 8.1338
_cell_angle_alpha 90.00
_cell_angle_beta 90.00
_cell_angle_gamma 90.00
loop_
_atom_site_label
_atom_site_type_symbol
_atom_site_fract_x
_atom_site_fract_y
_atom_site_fract_z
Np1 Np 0.2500 0.2500 0.2500
P1 P 0.0000 0.0000 0.3129
Ru1 Ru 0.0000 0.0000 0.0000
Ru2 Ru 0.0000 0.2500 0.5000



# NpP2Ru (PBE, relaxed)
# Electronic total energy, eV per atom: -8.821
data_NpP2Ru
_chemical_formula_sum 'Np2 P4 Ru2'
_symmetry_space_group_name_H-M 'I -4 m 2'
_symmetry_Int_Tables_number 119
_symmetry_space_group_name_Hall 'I -4 -2'
_cell_length_a 3.8771
_cell_length_b 3.8771
_cell_length_c 9.5809
_cell_angle_alpha 90.00
_cell_angle_beta 90.00
_cell_angle_gamma 90.00
loop_
_atom_site_label
_atom_site_type_symbol
_atom_site_fract_x
_atom_site_fract_y
_atom_site_fract_z
Np1 Np 0.0000 0.0000 0.0000
P1 P 0.0000 0.0000 0.3803
Ru1 Ru 0.0000 0.5000 0.7500



# NpP2Ru (PBE, relaxed)
# Electronic total energy, eV per atom: -8.774
data_NpP2Ru
_chemical_formula_sum 'Np3 P6 Ru3'
_symmetry_space_group_name_H-M 'R 3 m'
_symmetry_Int_Tables_number 160
_symmetry_space_group_name_Hall 'R 3 -2"'
_cell_length_a 3.7073
_cell_length_b 3.7073
_cell_length_c 17.7238
_cell_angle_alpha 90.00
_cell_angle_beta 90.00
_cell_angle_gamma 120.00
loop_
_atom_site_label
_atom_site_type_symbol
_atom_site_fract_x
_atom_site_fract_y
_atom_site_fract_z
Np1 Np 0.0000 0.0000 0.0000
P1 P 0.0000 0.0000 0.4311
P2 P 0.0000 0.0000 0.5663
Ru1 Ru 0.0000 0.0000 0.8199



# NpPRu (PBE, relaxed)
# Electronic total energy, eV per atom: -9.296
data_NpPRu
_chemical_formula_sum 'Np2 P2 Ru2'
_symmetry_space_group_name_H-M 'I 4 m m'
_symmetry_Int_Tables_number 107
_symmetry_space_group_name_Hall 'I 4 -2'
_cell_length_a 3.6420
_cell_length_b 3.6420
_cell_length_c 8.3635
_cell_angle_alpha 90.00
_cell_angle_beta 90.00
_cell_angle_gamma 90.00
loop_
_atom_site_label
_atom_site_type_symbol
_atom_site_fract_x
_atom_site_fract_y
_atom_site_fract_z
Np1 Np 0.0000 0.0000 0.0000
P1 P 0.0000 0.0000 0.6725
Ru1 Ru 0.0000 0.0000 0.3865



# NpP2Ru (PBE, relaxed)
# Electronic total energy, eV per atom: -8.947
data_NpP2Ru
_chemical_formula_sum 'Np4 P8 Ru4'
_symmetry_space_group_name_H-M 'I 4/m m m'
_symmetry_Int_Tables_number 139
_symmetry_space_group_name_Hall '-I 4 2'
_cell_length_a 3.9303
_cell_length_b 3.9303
_cell_length_c 18.1742
_cell_angle_alpha 90.00
_cell_angle_beta 90.00
_cell_angle_gamma 90.00
loop_
_atom_site_label
_atom_site_type_symbol
_atom_site_fract_x
_atom_site_fract_y
_atom_site_fract_z
Np1 Np 0.0000 0.0000 0.1080
P1 P 0.0000 0.0000 0.3208
P2 P 0.0000 0.5000 0.0000
Ru1 Ru 0.0000 0.5000 0.2500



# Np2P3Ru5 (PBE, relaxed)
# Electronic total energy, eV per atom: -9.358
data_Np2P3Ru5
_chemical_formula_sum 'Np8 P12 Ru20'
_symmetry_space_group_name_H-M 'C m c 21'
_symmetry_Int_Tables_number 36
_symmetry_space_group_name_Hall 'C 2c -2'
_cell_length_a 3.9952
_cell_length_b 23.7620
_cell_length_c 6.5106
_cell_angle_alpha 90.00
_cell_angle_beta 90.00
_cell_angle_gamma 90.00
loop_
_atom_site_label
_atom_site_type_symbol
_atom_site_fract_x
_atom_site_fract_y
_atom_site_fract_z
Np1 Np 0.0000 0.0151 0.0000
Np2 Np 0.0000 0.3271 0.9767
P1 P 0.0000 0.1107 0.2235
P2 P 0.0000 0.2681 0.4706
P3 P 0.0000 0.4485 0.2247
Ru1 Ru 0.0000 0.1021 0.6539
Ru2 Ru 0.0000 0.2084 0.1775
Ru3 Ru 0.0000 0.2081 0.7632
Ru4 Ru 0.0000 0.3674 0.4729
Ru5 Ru 0.0000 0.4390 0.8479



# Np2P3Ru2 (PBE, relaxed)
# Electronic total energy, eV per atom: -9.328
data_Np2P3Ru2
_chemical_formula_sum 'Np8 P12 Ru8'
_symmetry_space_group_name_H-M 'C 1 2/m 1'
_symmetry_Int_Tables_number 12
_symmetry_space_group_name_Hall '-C 2y'
_cell_length_a 14.6330
_cell_length_b 3.9357
_cell_length_c 10.9027
_cell_angle_alpha 90.00
_cell_angle_beta 126.53
_cell_angle_gamma 90.00
loop_
_atom_site_label
_atom_site_type_symbol
_atom_site_fract_x
_atom_site_fract_y
_atom_site_fract_z
Np1 Np 0.1119 0.0000 0.4677
Np2 Np 0.2308 0.0000 0.8349
P1 P 0.0729 0.5000 0.6330
P2 P 0.1100 0.0000 0.9638
P3 P 0.1524 0.5000 0.3072
Ru1 Ru 0.0467 0.5000 0.8225
Ru2 Ru 0.0896 0.0000 0.1629



# NpP2Ru (PBE, relaxed)
# Electronic total energy, eV per atom: -8.996
data_NpP2Ru
_chemical_formula_sum 'Np3 P6 Ru3'
_symmetry_space_group_name_H-M 'R -3 m'
_symmetry_Int_Tables_number 166
_symmetry_space_group_name_Hall '-R 3 2"'
_cell_length_a 3.8401
_cell_length_b 3.8401
_cell_length_c 15.7412
_cell_angle_alpha 90.00
_cell_angle_beta 90.00
_cell_angle_gamma 120.00
loop_
_atom_site_label
_atom_site_type_symbol
_atom_site_fract_x
_atom_site_fract_y
_atom_site_fract_z
Np1 Np 0.0000 0.0000 0.0000
P1 P 0.0000 0.0000 0.2317
Ru1 Ru 0.0000 0.0000 0.5000



Per-record density of states at the Fermi level, states/eV/cell: 30.37, 35.55, 14.71, 8.90, 43.51, 15.77, 21.35, 13.44, 36.39, 55.80, 71.84, 19.53
Per-record formation enthalpy at 0 K, eV per atom: -0.502, -0.726, -0.468, -0.584, -0.652, -0.562, -0.515, -0.088, -0.688, -0.509, -0.661, -0.737